(1)
PrNdPt4 | PBE | optimized geometry

The total moment comes out at 0.000 μB per atom. As for the formation energy: -1.05 eV/atom.

abc: 5.529 5.529 5.529
angles: 60.00 60.00 60.00
Positions (direct):
Pr 0.000 0.000 0.000
Nd 0.250 0.250 0.250
Pt 0.125 0.625 0.625
Pt 0.625 0.125 0.625
Pt 0.625 0.625 0.125
Pt 0.625 0.625 0.625

(2)
TlSb2OsI | PBE | optimized geometry

The total moment comes out at 0.551 μB per atom.

abc: 5.685 5.685 5.823
angles: 90.00 90.00 90.00
Positions (direct):
Tl 0.000 0.000 0.000
Sb 0.000 0.500 0.000
Sb 0.500 0.000 0.000
Os 0.500 0.500 0.500
I 0.000 0.000 0.500

(3)
AcLuZn | PBE | optimized geometry

The total moment comes out at 0.000 μB per atom. As for the formation energy: -0.03 eV/atom.

abc: 5.133 5.133 3.965
angles: 90.00 90.00 120.00
Positions (direct):
Ac 0.000 0.000 0.000
Lu 0.333 0.667 0.500
Zn 0.667 0.333 0.500

(4)
CdCu2O | PBE | optimized geometry

The total moment comes out at 0.000 μB per atom.

abc: 6.435 6.435 6.435
angles: 131.98 131.98 70.26
Positions (direct):
Cd 0.000 0.000 0.000
Cd 0.750 0.250 0.500
Cu 0.360 0.625 0.235
Cu 0.375 0.610 0.735
Cu 0.390 0.125 0.765
Cu 0.875 0.640 0.265
O 0.250 0.750 0.500
O 0.500 0.500 0.000

(5)
V2MoPb4 | PBE | optimized geometry

The total moment comes out at 0.856 μB per atom. As for the formation energy: 0.93 eV/atom.

abc: 7.856 7.856 7.856
angles: 140.23 140.23 57.51
Positions (direct):
V 0.097 0.097 0.000
V 0.903 0.903 0.000
Mo 0.500 0.500 0.000
Pb 0.000 0.500 0.500
Pb 0.298 0.298 0.000
Pb 0.500 0.000 0.500
Pb 0.702 0.702 0.000

(6)
ScFe2Te | PBE | optimized geometry

The total moment comes out at 1.145 μB per atom.

abc: 3.442 4.124 5.149
angles: 90.00 102.79 90.00
Positions (direct):
Sc 0.000 0.000 0.000
Fe 0.302 0.500 0.690
Fe 0.567 0.000 0.539
Te 0.585 0.500 0.234

(7)
Ce5AgAu4 | PBE | optimized geometry

The total moment comes out at 0.524 μB per atom. As for the formation energy: -0.49 eV/atom.

abc: 3.661 3.661 18.874
angles: 90.00 90.00 90.00
Positions (direct):
Ce 0.000 0.000 0.000
Ce 0.000 0.000 0.198
Ce 0.000 0.000 0.395
Ce 0.000 0.000 0.605
Ce 0.000 0.000 0.802
Ag 0.500 0.500 0.500
Au 0.500 0.500 0.099
Au 0.500 0.500 0.299
Au 0.500 0.500 0.701
Au 0.500 0.500 0.901

(8)
Nd2Ho12Tm5 | PBE | optimized geometry

The total moment comes out at 0.000 μB per atom. As for the formation energy: 0.14 eV/atom.

abc: 9.085 9.085 8.453
angles: 90.77 90.77 60.57
Positions (direct):
Nd 0.185 0.815 0.000
Nd 0.815 0.185 0.000
Ho 0.058 0.058 0.329
Ho 0.066 0.682 0.349
Ho 0.161 0.523 0.755
Ho 0.318 0.934 0.651
Ho 0.405 0.405 0.117
Ho 0.477 0.839 0.245
Ho 0.523 0.161 0.755
Ho 0.595 0.595 0.883
Ho 0.682 0.066 0.349
Ho 0.839 0.477 0.245
Ho 0.934 0.318 0.651
Ho 0.942 0.942 0.671
Tm 0.197 0.197 0.008
Tm 0.267 0.267 0.423
Tm 0.500 0.500 0.500
Tm 0.733 0.733 0.577
Tm 0.803 0.803 0.992

(9)
Y2NiAu | PBE | optimized geometry

The total moment comes out at 0.000 μB per atom. As for the formation energy: -0.34 eV/atom.

abc: 6.752 6.752 6.752
angles: 37.52 37.52 37.52
Positions (direct):
Y 0.000 0.000 0.000
Y 0.180 0.180 0.180
Ni 0.418 0.418 0.418
Au 0.760 0.760 0.760

(10)
Dy2HfTh | PBE | optimized geometry

The total moment comes out at 0.000 μB per atom. As for the formation energy: 0.37 eV/atom.

abc: 12.051 12.051 12.051
angles: 16.13 16.13 16.13
Positions (direct):
Dy 0.087 0.087 0.087
Dy 0.913 0.913 0.913
Hf 0.000 0.000 0.000
Th 0.500 0.500 0.500

(11)
TiCdAs2O8 | PBE | optimized geometry

The total moment comes out at 0.000 μB per atom.

abc: 5.748 5.748 5.748
angles: 106.60 106.60 115.38
Positions (direct):
Ti 0.000 0.000 0.000
Cd 0.750 0.250 0.500
As 0.250 0.750 0.500
As 0.500 0.500 0.000
O 0.076 0.378 0.302
O 0.076 0.774 0.698
O 0.124 0.300 0.825
O 0.226 0.924 0.302
O 0.475 0.300 0.175
O 0.622 0.924 0.698
O 0.700 0.525 0.825
O 0.700 0.876 0.175

(12)
Ga4BiS7 | PBE | optimized geometry

The total moment comes out at 0.000 μB per atom.

abc: 14.961 6.440 6.100
angles: 90.00 90.00 90.00
Positions (direct):
Ga 0.128 0.153 0.000
Ga 0.248 0.674 0.983
Ga 0.252 0.326 0.483
Ga 0.372 0.847 0.500
Ga 0.628 0.847 0.500
Ga 0.748 0.326 0.483
Ga 0.752 0.674 0.983
Ga 0.872 0.153 0.000
Bi 0.000 0.519 0.535
Bi 0.500 0.481 0.035
S 0.000 0.349 0.915
S 0.118 0.185 0.379
S 0.120 0.823 0.872
S 0.246 0.673 0.370
S 0.254 0.327 0.870
S 0.380 0.177 0.372
S 0.382 0.815 0.879
S 0.500 0.651 0.415
S 0.618 0.815 0.879
S 0.620 0.177 0.372
S 0.746 0.327 0.870
S 0.754 0.673 0.370
S 0.880 0.823 0.872
S 0.882 0.185 0.379

(13)
Cs2P2Au | PBE | optimized geometry

The total moment comes out at 0.199 μB per atom. As for the formation energy: -0.12 eV/atom.

abc: 8.966 8.966 4.917
angles: 90.00 90.00 90.00
Positions (direct):
Cs 0.210 0.290 0.000
Cs 0.290 0.790 0.000
Cs 0.710 0.210 0.000
Cs 0.790 0.710 0.000
P 0.079 0.579 0.500
P 0.421 0.079 0.500
P 0.579 0.921 0.500
P 0.921 0.421 0.500
Au 0.000 0.000 0.500
Au 0.500 0.500 0.500

(14)
LaSmCdPt | PBE | optimized geometry

The total moment comes out at 0.000 μB per atom. As for the formation energy: -0.64 eV/atom.

abc: 5.278 5.278 5.278
angles: 60.00 60.00 60.00
Positions (direct):
La 0.000 0.000 0.000
Sm 0.500 0.500 0.500
Cd 0.250 0.250 0.250
Pt 0.750 0.750 0.750

(15)
Ce2Zn2Pt5Au | PBE | optimized geometry

The total moment comes out at 0.142 μB per atom. As for the formation energy: -0.68 eV/atom.

abc: 9.698 9.698 3.882
angles: 90.00 90.00 90.00
Positions (direct):
Ce 0.179 0.321 0.000
Ce 0.321 0.821 0.000
Ce 0.679 0.179 0.000
Ce 0.821 0.679 0.000
Zn 0.119 0.619 0.000
Zn 0.381 0.119 0.000
Zn 0.619 0.881 0.000
Zn 0.881 0.381 0.000
Pt 0.000 0.500 0.500
Pt 0.065 0.794 0.500
Pt 0.206 0.065 0.500
Pt 0.294 0.565 0.500
Pt 0.435 0.294 0.500
Pt 0.500 0.000 0.500
Pt 0.565 0.706 0.500
Pt 0.706 0.435 0.500
Pt 0.794 0.935 0.500
Pt 0.935 0.206 0.500
Au 0.000 0.000 0.000
Au 0.500 0.500 0.000

(16)
Al2CoCu | PBE | optimized geometry

The total moment comes out at 0.195 μB per atom. As for the formation energy: -0.03 eV/atom.

abc: 8.353 8.353 8.353
angles: 18.90 18.90 18.90
Positions (direct):
Al 0.000 0.000 0.000
Al 0.239 0.239 0.239
Co 0.497 0.497 0.497
Cu 0.749 0.749 0.749

(17)
NaMgI2N | PBE | optimized geometry

The total moment comes out at 0.513 μB per atom.

abc: 5.923 5.923 4.490
angles: 90.00 90.00 90.00
Positions (direct):
Na 0.000 0.000 0.000
Mg 0.500 0.500 0.500
I 0.000 0.500 0.000
I 0.500 0.000 0.000
N 0.000 0.000 0.500

(18)
NdTmCdSi | PBE | optimized geometry

The total moment comes out at 0.000 μB per atom.

abc: 5.156 5.156 5.156
angles: 60.00 60.00 60.00
Positions (direct):
Nd 0.000 0.000 0.000
Tm 0.500 0.500 0.500
Cd 0.750 0.750 0.750
Si 0.250 0.250 0.250

(19)
NaMg2CuF8 | PBE | optimized geometry

The total moment comes out at 0.168 μB per atom.

abc: 4.738 6.360 4.758
angles: 90.00 90.56 90.00
Positions (direct):
Na 0.000 0.000 0.000
Mg 0.500 0.245 0.500
Mg 0.500 0.755 0.500
Cu 0.000 0.500 0.000
F 0.204 0.285 0.198
F 0.204 0.715 0.198
F 0.293 0.500 0.702
F 0.317 0.000 0.678
F 0.683 0.000 0.322
F 0.707 0.500 0.298
F 0.796 0.285 0.802
F 0.796 0.715 0.802

(20)
ZrPaMn2S8 | PBE | optimized geometry

The total moment comes out at 0.584 μB per atom.

abc: 7.133 7.133 7.133
angles: 105.60 105.60 117.52
Positions (direct):
Zr 0.000 0.000 0.000
Pa 0.750 0.250 0.500
Mn 0.250 0.750 0.500
Mn 0.500 0.500 0.000
S 0.055 0.366 0.311
S 0.055 0.744 0.689
S 0.105 0.289 0.816
S 0.256 0.945 0.311
S 0.473 0.289 0.184
S 0.634 0.945 0.689
S 0.711 0.527 0.816
S 0.711 0.895 0.184

(21)
KMnCr2 | PBE | optimized geometry

The total moment comes out at 0.003 μB per atom. As for the formation energy: 1.84 eV/atom.

abc: 4.336 4.336 4.336
angles: 60.00 60.00 60.00
Positions (direct):
K 0.000 0.000 0.000
Mn 0.500 0.500 0.500
Cr 0.250 0.250 0.250
Cr 0.750 0.750 0.750

(22)
BaHfPb | PBE | optimized geometry

The total moment comes out at 0.000 μB per atom. As for the formation energy: -0.13 eV/atom.

abc: 4.710 4.710 9.267
angles: 90.00 90.00 90.00
Positions (direct):
Ba 0.250 0.250 0.161
Ba 0.750 0.750 0.839
Hf 0.250 0.750 0.500
Hf 0.750 0.250 0.500
Pb 0.250 0.250 0.713
Pb 0.750 0.750 0.287

(23)
TaIn2Os | PBE | optimized geometry

The total moment comes out at 0.000 μB per atom. As for the formation energy: 0.50 eV/atom.

abc: 5.319 5.319 5.319
angles: 134.93 134.93 65.64
Positions (direct):
Ta 0.000 0.000 0.000
In 0.250 0.750 0.500
In 0.750 0.250 0.500
Os 0.500 0.500 0.000

(24)
BeV3Sb | PBE | optimized geometry

The total moment comes out at 1.085 μB per atom.

abc: 4.862 4.862 4.862
angles: 90.00 90.00 90.00
Positions (direct):
Be 0.000 0.000 0.000
V 0.000 0.500 0.500
V 0.500 0.000 0.500
V 0.500 0.500 0.000
Sb 0.500 0.500 0.500

| no. | uncorrected energy (eV per cell) |
| --- | --- |
| 1 | -40.02 |
| 2 | -13.72 |
| 3 | -9.98 |
| 4 | -29.77 |
| 5 | -37.37 |
| 6 | -26.52 |
| 7 | -50.49 |
| 8 | -84.26 |
| 9 | -23.37 |
| 10 | -25.11 |
| 11 | -75.90 |
| 12 | -102.12 |
| 13 | -32.80 |
| 14 | -19.15 |
| 15 | -109.46 |
| 16 | -18.83 |
| 17 | -11.75 |
| 18 | -17.03 |
| 19 | -55.58 |
| 20 | -80.25 |
| 21 | -22.17 |
| 22 | -31.94 |
| 23 | -26.57 |
| 24 | -26.58 |